The following is a DFT calculation (PBE with a Hubbard U) of a geometry-optimized CaTiNiP2O9 structure.

Its space group is No. 62. The magnetization is 0.145 μB per atom. For the total energy, the calculation gives -7.353 eV/atom.

```
CaTiNiP2O9
1.0
6.488 0.000 0.000
0.000 7.457 0.000
0.000 0.000 14.347
Ca Ti Ni P O
4 4 4 8 36
Direct
0.750 0.887 0.781
0.750 0.613 0.281
0.250 0.113 0.219
0.250 0.387 0.719
0.750 0.346 0.882
0.250 0.654 0.118
0.250 0.846 0.618
0.750 0.154 0.382
0.500 0.000 0.000
0.500 0.500 0.500
0.000 0.500 0.500
0.000 0.000 0.000
0.250 0.355 0.936
0.750 0.645 0.064
0.750 0.855 0.564
0.250 0.145 0.436
0.750 0.395 0.691
0.250 0.605 0.309
0.250 0.895 0.809
0.750 0.105 0.191
0.052 0.605 0.368
0.552 0.395 0.632
0.948 0.105 0.132
0.448 0.895 0.868
0.948 0.395 0.632
0.448 0.605 0.368
0.052 0.895 0.868
0.552 0.105 0.132
0.250 0.330 0.483
0.750 0.670 0.517
0.750 0.830 0.017
0.250 0.170 0.983
0.750 0.139 0.939
0.250 0.861 0.061
0.250 0.639 0.561
0.750 0.361 0.439
0.750 0.223 0.756
0.250 0.777 0.244
0.250 0.723 0.744
0.750 0.277 0.256
0.439 0.125 0.370
0.939 0.875 0.630
0.561 0.625 0.130
0.061 0.375 0.870
0.561 0.875 0.630
0.061 0.125 0.370
0.439 0.375 0.870
0.939 0.625 0.130
0.750 0.952 0.265
0.250 0.048 0.735
0.250 0.452 0.235
0.750 0.548 0.765
0.750 0.001 0.489
0.250 0.999 0.511
0.250 0.501 0.011
0.750 0.499 0.989
```